1.
VASP calculation (PBE-GGA) on a relaxed La2P2Ru crystal.

Computed properties:
Energy in hartree per atom: -0.2558
Energy of formation in eV/atom: -0.969
Volume in Å³/cell: 199.69

abc: 6.4762 6.4762 4.7611
angles: 90.00 90.00 90.00
Space group P4/mbm (No. 127)
One atom of each set of equivalent atoms:
La 0.1777 0.3223 0.0000 (multiplicity 4)
P 0.1337 0.6337 0.5000 (multiplicity 4)
Ru 0.0000 0.0000 0.5000 (multiplicity 2)

2.
VASP calculation (PBE-GGA) on a relaxed Ba3AcHf2O9 crystal.

Computed properties:
Energy in hartree per atom: -0.2941
E_form (uncorrected) in meV per atom: -3043
Volume in Å³/cell: 258.76

abc: 6.1279 6.1279 7.9569
angles: 90.00 90.00 120.00
Space group P-3m1 (No. 164)
One atom of each set of equivalent atoms:
Ba 0.0000 0.0000 0.0000 (multiplicity 1)
Ba 0.3333 0.6667 0.7151 (multiplicity 2)
Ac 0.0000 0.0000 0.5000 (multiplicity 1)
Hf 0.3333 0.6667 0.1603 (multiplicity 2)
O 0.0000 0.5000 0.0000 (multiplicity 3)
O 0.1732 0.3463 0.2989 (multiplicity 6)

3.
VASP calculation (PBE-GGA) on a relaxed Li2PuCO6 crystal.

Computed properties:
Energy in hartree per atom: -0.2786
E_form (uncorrected) in meV per atom: -1867
Volume in Å³/cell: 248.36

abc: 5.1608 5.1712 9.3063
angles: 90.00 90.00 90.00
Space group Pnnm (No. 58)
One atom of each set of equivalent atoms:
Li 0.0000 0.0000 0.2497 (multiplicity 4)
Pu 0.0000 0.5000 0.0000 (multiplicity 2)
C 0.0000 0.5000 0.5000 (multiplicity 2)
O 0.1609 0.3402 0.5000 (multiplicity 4)
O 0.1866 0.3139 0.1486 (multiplicity 8)

- energy of number 1 (La2P2Ru)?
  -0.2558 hartree per atom

- The lowest energy belongs to which entry?
  Ba3AcHf2O9

- Among the records above, which one has the lowest energy?
  Ba3AcHf2O9